Entry 1:
A plane-wave DFT calculation with PBE was carried out for a relaxed TbPaBr crystal.

Unit cell a=12.9004 b=3.3680 c=7.7038 alpha=90.00 beta=97.43 gamma=90.00
Last column: nearest neighbours and their distance in Å.
Space group C2/m (No. 12)
Symmetry-distinct sites (fractional):
Tb: 0.1900 0.0000 0.1835 x4  3 Br 3.16-3.19, 2 Tb 3.37, 5 Pa 3.40-3.52
Pa: 0.0413 0.5000 0.8573 x4  1 Pa 2.56
Br: 0.1395 0.0000 0.5780 x4  2 Pa 3.13, 3 Tb 3.16-3.19, 2 Br 3.37

Values from the calculation:
uncorrected formation energy	-0.3709	eV/atom

---

Entry 2:
A plane-wave DFT calculation with PBE was carried out for a relaxed MgZn2Co crystal.

Unit cell a=6.0765 b=6.0765 c=6.0765 alpha=90.00 beta=90.00 gamma=90.00
Last column: nearest neighbours and their distance in Å.
Space group F-43m (No. 216)
Symmetry-distinct sites (fractional):
Mg: 0.0000 0.0000 0.0000 x4  4 Zn 2.63, 4 Co 2.63
Zn: 0.0000 0.0000 0.5000 x4  4 Co 2.63, 4 Zn 2.63
Zn: 0.2500 0.2500 0.2500 x4  4 Mg 2.63, 4 Zn 2.63
Co: 0.2500 0.2500 0.7500 x4  4 Mg 2.63, 4 Zn 2.63

Values from the calculation:
formation energy	0.040	eV per atom

---

Entry 3:
A plane-wave DFT calculation with PBE was carried out for a relaxed Ba2PaPtS5 crystal.

Unit cell a=4.0353 b=17.8777 c=13.1190 alpha=90.00 beta=90.00 gamma=90.00
Last column: nearest neighbours and their distance in Å.
Space group Cmc2_1 (No. 36)
Symmetry-distinct sites (fractional):
Ba: 0.0000 0.1154 0.0000 x4  7 S 3.09-3.45
Ba: 0.0000 0.1228 0.3523 x4  7 S 3.09-3.42
Pa: 0.0000 0.1863 0.6748 x4  6 S 2.63-2.73
Pt: 0.0000 0.4440 0.0875 x4  4 S 2.38-2.64
S: 0.0000 0.0382 0.6800 x4  2 Pt 2.38, 1 Pa 2.65
S: 0.0000 0.3012 0.0359 x4  1 Pt 2.64, 2 Pa 2.73
S: 0.0000 0.3067 0.3148 x4  2 Pa 2.73
S: 0.0000 0.3335 0.6762 x4  1 Pa 2.63
S: 0.0000 0.4981 0.9217 x4  1 Pt 2.38

Values from the calculation:
uncorrected formation energy	-1.5640	eV/atom

---

Entry 4:
A plane-wave DFT calculation with PBE was carried out for a relaxed MnCr crystal.

Unit cell a=2.4566 b=2.4566 c=7.5103 alpha=90.00 beta=90.00 gamma=90.00
Last column: nearest neighbours and their distance in Å.
Space group P4/nmm (No. 129, origin choice 2)
Symmetry-distinct sites (fractional):
Mn: 0.2500 0.2500 0.1099 x2  8 Mn 2.40-2.46, 4 Cr 2.58
Cr: 0.2500 0.2500 0.6368 x2  8 Cr 2.46-2.69, 4 Mn 2.58

Values from the calculation:
formation energy	0.168	eV per atom

---

Entry 5:
A plane-wave DFT calculation with PBE was carried out for a relaxed La3Y2Er6Tm crystal.

Unit cell a=6.2036 b=10.7437 c=11.8060 alpha=90.00 beta=100.08 gamma=90.00
Last column: nearest neighbours and their distance in Å.
Space group C2/m (No. 12)
Symmetry-distinct sites (fractional):
La: 0.0000 0.0000 0.0000 x2  6 La 3.58, 6 Er 3.62
La: 0.0000 0.3332 0.0000 x4  6 La 3.58, 6 Er 3.62
Y: 0.0000 0.1666 0.5000 x4  6 Er 3.52, 3 Y 3.58, 3 Tm 3.58
Er: 0.2472 0.3338 0.7445 x8  1 Tm 3.51, 2 Y 3.52, 6 Er 3.57-3.59, 3 La 3.62
Er: 0.2487 0.0000 0.7446 x4  1 Tm 3.51, 2 Y 3.52, 6 Er 3.57-3.59, 3 La 3.62
Tm: 0.0000 0.5000 0.5000 x2  6 Er 3.51, 6 Y 3.58

Values from the calculation:
formation energy	0.027	eV per atom

---

Entry 6:
A plane-wave DFT calculation with PBE was carried out for a relaxed Al2TlCl6 crystal.

Unit cell a=13.3305 b=4.2202 c=11.2693 alpha=90.00 beta=92.87 gamma=90.00
Last column: nearest neighbours and their distance in Å.
Space group C2/m (No. 12)
Symmetry-distinct sites (fractional):
Al: 0.2205 0.0000 0.2155 x4  4 Cl 2.16-2.35
Tl: 0.0000 0.5000 0.5000 x2  6 Cl 3.25
Cl: 0.1176 0.5000 0.7596 x4  1 Al 2.16
Cl: 0.1571 0.0000 0.3922 x4  1 Al 2.20
Cl: 0.1769 0.5000 0.1368 x4  2 Al 2.35

Values from the calculation:
uncorrected formation energy	-1.1927	eV/atom

---

Entry 7:
A plane-wave DFT calculation with PBE was carried out for a relaxed La2ScAs3Rh12 crystal.

Unit cell a=9.0481 b=9.0481 c=13.1457 alpha=90.00 beta=90.00 gamma=120.00
Last column: nearest neighbours and their distance in Å.
Space group R-3m (No. 166, hexagonal axes)
Symmetry-distinct sites (fractional):
La: 0.0000 0.0000 0.1372 x6  3 Rh 2.61
Sc: 0.0000 0.0000 0.5000 x3  6 Rh 2.63
As: 0.0000 0.5000 0.0000 x9  6 Rh 2.40-2.63
Rh: 0.0014 0.5007 0.8173 x18  1 As 2.40, 1 La 2.61, 1 Sc 2.63, 3 Rh 2.64-2.66
Rh: 0.0163 0.5081 0.3834 x18  2 As 2.63, 1 Rh 2.64

Values from the calculation:
formation energy	-0.324	eV per atom

---

Entry 8:
A plane-wave DFT calculation with PBE was carried out for a relaxed Ca11Tl9Sn4 crystal.

Unit cell a=15.2414 b=22.6685 c=4.1435 alpha=90.00 beta=90.00 gamma=90.00
Last column: nearest neighbours and their distance in Å.
Space group Cmmm (No. 65)
Symmetry-distinct sites (fractional):
Ca: 0.0000 0.0000 0.0000 x2  8 Tl 3.37
Ca: 0.0000 0.1735 0.0000 x4  8 Tl 3.38-3.57, 2 Ca 3.58
Ca: 0.0000 0.3673 0.0000 x4  4 Sn 3.24, 4 Tl 3.58
Ca: 0.2237 0.5000 0.0000 x4  4 Sn 3.22, 4 Tl 3.54
Ca: 0.2346 0.1730 0.0000 x8  2 Sn 3.16, 6 Tl 3.38-3.45, 1 Ca 3.52
Tl: 0.0000 0.5000 0.5000 x2  4 Sn 3.25
Tl: 0.1135 0.2636 0.5000 x8  1 Sn 3.19, 6 Ca 3.38-3.45, 1 Tl 3.46
Tl: 0.1287 0.0789 0.5000 x8  1 Sn 3.32, 8 Ca 3.37-3.57, 1 Tl 3.58
Sn: 0.1552 0.4015 0.5000 x8  6 Ca 3.16-3.24, 3 Tl 3.19-3.32

Values from the calculation:
formation energy	-0.432	eV per atom

---

Entry 9:
A plane-wave DFT calculation with PBE was carried out for a relaxed AlTe2H crystal.

Unit cell a=5.8579 b=5.8579 c=11.6255 alpha=90.00 beta=90.00 gamma=90.00
Last column: nearest neighbours and their distance in Å.
Space group I-42d (No. 122)
Symmetry-distinct sites (fractional):
Al: 0.0000 0.0000 0.0000 x4  4 Te 2.66
Te: 0.2137 0.2500 0.6250 x8  2 H 2.41, 2 Al 2.66
H: 0.0000 0.0000 0.5000 x4  4 Te 2.41

Values from the calculation:
energy	-3.271	eV per atom

---

Entry 10:
A plane-wave DFT calculation with PBE was carried out for a relaxed HfP2IrS crystal.

Unit cell a=4.5157 b=4.5157 c=4.8127 alpha=90.00 beta=90.00 gamma=90.00
Last column: nearest neighbours and their distance in Å.
Space group P4/mmm (No. 123)
Symmetry-distinct sites (fractional):
Hf: 0.0000 0.0000 0.0000 x1  4 S 3.19, 8 P 3.30
P: 0.0000 0.5000 0.5000 x2  2 Ir 2.26
Ir: 0.5000 0.5000 0.5000 x1  4 P 2.26, 2 S 2.41
S: 0.5000 0.5000 0.0000 x1  2 Ir 2.41

Values from the calculation:
uncorrected formation energy	0.4507	eV/atom

---

Entry 11:
A plane-wave DFT calculation with PBE was carried out for a relaxed CsAgTe2Pb crystal.

Unit cell a=7.5464 b=16.5092 c=6.7931 alpha=90.00 beta=90.00 gamma=90.00
Last column: nearest neighbours and their distance in Å.
Space group Cmme (No. 67)
Symmetry-distinct sites (fractional):
Cs: 0.0000 0.2500 0.2396 x4  8 Te 3.99-4.33, 2 Ag 4.44
Ag: 0.0000 0.0000 0.0000 x4  2 Te 2.66
Te: 0.0000 0.1212 0.7421 x8  1 Ag 2.66
Pb: 0.2500 0.0000 0.5000 x4  4 Te 3.20

Values from the calculation:
uncorrected formation energy	-0.4960	eV/atom

---

Entry 12:
A plane-wave DFT calculation with PBE was carried out for a relaxed CeGa7Ni5 crystal.

Unit cell a=5.0726 b=8.7296 c=8.5293 alpha=90.00 beta=90.00 gamma=90.00
Last column: nearest neighbours and their distance in Å.
Space group Imm2 (No. 44)
Symmetry-distinct sites (fractional):
Ce: 0.0000 0.0000 0.0000 x2  8 Ga 2.89-3.10, 2 Ni 3.17
Ga: 0.0000 0.0000 0.3394 x2  1 Ga 2.61, 6 Ni 2.70-2.72, 1 Ce 2.89
Ga: 0.0000 0.0000 0.6449 x2  5 Ga 2.61-2.84, 4 Ni 2.62
Ga: 0.0000 0.2957 0.5062 x4  5 Ni 2.46-2.57, 1 Ga 2.74
Ga: 0.0000 0.3452 0.9786 x4  5 Ni 2.53-2.71, 4 Ga 2.70-2.83
Ga: 0.0000 0.5000 0.2626 x2  4 Ni 2.46, 4 Ga 2.73-2.74
Ni: 0.0000 0.5000 0.7230 x2  6 Ga 2.56-2.72, 4 Ni 2.60
Ni: 0.2475 0.2583 0.2464 x8  7 Ga 2.46-2.71, 3 Ni 2.51-2.60

Values from the calculation:
formation energy	-0.431	eV per atom